VASP calculation (PBE-GGA) on an optimized crystal structure of PbBr2.

N(E_F) = 0.0 states/eV/cell
raw formation energy = -2.65 eV/f.u.
calculated volume = 43.41 Å³ per atom

a b c (Å): 9.979 9.979 6.072
angles (deg): 90.00 90.00 154.48
Sites, in units of the cell vectors:
Br1 0.093 0.907 0.000
Br2 0.315 0.685 0.000
Br3 0.463 0.537 0.500
Br4 0.685 0.315 0.500
Pb1 0.718 0.282 0.000
Pb2 0.060 0.940 0.500